[1]
InHgNO2 PBE relaxed; spin magnetization = 0.874 μB/cell
1.0
4.254 0.000 0.000
0.000 4.254 0.000
0.000 0.000 4.245
O N In Hg
2 1 1 1
Direct
0.000 0.500 0.000 O
0.500 0.000 0.000 O
0.000 0.000 0.500 N
0.500 0.500 0.500 In
0.000 0.000 0.000 Hg

***

[2]
PaInHgN PBE relaxed; spin magnetization = 0.891 μB/cell
1.0
4.073 0.000 0.000
0.000 4.073 0.000
0.000 0.000 10.612
Hg N Pa In
2 2 2 2
Direct
0.500 0.500 0.500 Hg
0.000 0.000 0.500 Hg
0.000 0.000 0.000 N
0.500 0.500 0.000 N
0.500 0.000 0.102 Pa
0.000 0.500 0.898 Pa
0.000 0.500 0.281 In
0.500 0.000 0.719 In

***

[3]
Pm12In4HgN3 PBE relaxed; spin magnetization = 0.000 μB/cell
1.0
-2.334 7.043 4.999
-1.596 -7.541 4.542
8.711 0.503 -1.978
Pm In N Hg
12 4 3 1
Direct
0.000 0.724 0.724 Pm
0.250 0.750 0.500 Pm
0.750 0.250 0.500 Pm
0.276 0.000 0.276 Pm
0.500 0.750 0.250 Pm
0.250 0.500 0.750 Pm
0.750 0.500 0.250 Pm
0.724 0.000 0.724 Pm
0.276 0.276 0.000 Pm
0.000 0.276 0.276 Pm
0.724 0.724 0.000 Pm
0.500 0.250 0.750 Pm
0.000 0.000 0.500 In
0.500 0.000 0.000 In
0.000 0.500 0.000 In
0.500 0.500 0.500 In
0.000 0.500 0.500 N
0.500 0.000 0.500 N
0.500 0.500 0.000 N
0.000 0.000 0.000 Hg

***

[4]
Pr4InHgN PBE relaxed; spin magnetization = 0.000 μB/cell
1.0
-0.009 7.045 -1.603
-3.952 1.337 5.899
6.498 -2.573 4.937
Pr N In Hg
8 2 2 2
Direct
0.000 0.000 0.500 Pr
0.500 0.000 0.500 Pr
0.919 0.250 0.838 Pr
0.587 0.250 0.173 Pr
0.081 0.750 0.162 Pr
0.000 0.500 0.500 Pr
0.500 0.500 0.500 Pr
0.413 0.750 0.827 Pr
0.250 0.750 0.500 N
0.750 0.250 0.500 N
0.619 0.750 0.238 In
0.381 0.250 0.762 In
0.120 0.250 0.240 Hg
0.880 0.750 0.760 Hg

***

Record order is preserved below.
ΔE_f (raw): 0.8694; -0.6898; -0.6027; -0.6129 eV/atom